Record 1
First-principles (PBE) data for LiCdSb after structural relaxation, as listed in Alexandria.

Structure (POSCAR):
```
LiCdSb
1.0
-2.035 2.040 4.166
2.035 -2.040 4.166
2.035 2.040 -4.166
Li Cd Sb
1 1 1
direct
0.000 0.000 0.000
0.682 0.682 0.000
0.329 0.329 0.000
```

Uncorrected formation energy = -0.21 eV/atom

---

Record 2
First-principles (PBE) data for Li8Cd2Sb after structural relaxation, as listed in Alexandria.

Structure (POSCAR):
```
Li8Cd2Sb
1.0
7.773 -2.355 0.000
7.773 2.355 0.000
-0.027 0.000 5.458
Li Cd Sb
8 2 1
direct
0.043 0.043 0.245
0.138 0.138 0.673
0.319 0.319 0.593
0.407 0.407 0.038
0.593 0.593 0.962
0.681 0.681 0.407
0.862 0.862 0.327
0.957 0.957 0.755
0.221 0.221 0.132
0.779 0.779 0.868
0.500 0.500 0.500
```

Uncorrected formation energy = -0.32 eV/atom

---

Record 3
First-principles (PBE) data for LiCdSb after structural relaxation, as listed in Alexandria.

Structure (POSCAR):
```
LiCdSb
1.0
-1.602 1.602 6.660
1.602 -1.602 6.660
1.602 1.602 -6.660
Li Cd Sb
1 1 1
direct
0.000 0.000 0.000
0.347 0.347 0.000
0.654 0.654 0.000
```

Uncorrected formation energy = -0.17 eV/atom

---

Record 4
First-principles (PBE) data for LiCdSb after structural relaxation, as listed in Alexandria.

Structure (POSCAR):
```
LiCdSb
1.0
0.000 4.824 6.767
4.734 0.000 6.767
4.734 4.824 0.000
Li Cd Sb
4 4 4
direct
0.007 0.007 0.743
0.257 0.257 0.993
0.743 0.743 0.007
0.993 0.993 0.257
0.253 0.253 0.497
0.497 0.497 0.253
0.503 0.503 0.747
0.747 0.747 0.503
0.118 0.632 0.632
0.368 0.882 0.882
0.632 0.118 0.118
0.882 0.368 0.368
```

Uncorrected formation energy = -0.33 eV/atom